NdSeI | GGA-PBE | optimized geometry

Computed properties:
E_tot (eV per atom): -4.956
N(E_F) (states/eV per cell): 0.000
Formation energy (no corrections) (eV/atom): -1.688

Geometry as CIF:
```
data_NdSeI
_chemical_formula_sum 'Nd2 Se2 I2'
_cell_length_a 4.4355
_cell_length_b 5.8006
_cell_length_c 10.7549
_cell_angle_alpha 90.00
_cell_angle_beta 97.10
_cell_angle_gamma 90.00
_space_group_name_H-M_alt 'P 1 21/m 1'
_space_group_IT_number 11
_space_group_name_Hall '-P 2yb'
loop_
_atom_site_label
_atom_site_type_symbol
_atom_site_fract_x
_atom_site_fract_y
_atom_site_fract_z
Nd1 Nd 0.2147 0.2500 0.3832
Se1 Se 0.2297 0.7500 0.4320
I1 I 0.3484 0.7500 0.8271
```